1.
KSeN2F (PBE, optimized geometry); uncorrected formation energy = 1381 meV/atom; N(E_F) = 0.387 states/eV/atom
1.0
-4.1640 1.2603 -2.8369
2.3355 -1.8549 -4.2521
-1.6285 -3.7308 0.7330
K N Se F
1 2 1 1
direct
0.5000 0.5000 0.5000
0.0000 0.5000 0.0000
0.5000 0.0000 0.0000
0.0000 0.0000 0.5000
0.0000 0.0000 0.0000

=====

2.
KSeN2F (PBE, optimized geometry); uncorrected formation energy = 1618 meV/atom; N(E_F) = 0.335 states/eV/atom
1.0
5.5483 0.0000 0.0000
0.0000 5.5483 0.0000
0.0000 0.0000 4.7532
K N Se F
1 2 1 1
direct
0.0000 0.0000 0.0000
0.0000 0.5000 0.0000
0.5000 0.0000 0.0000
0.5000 0.5000 0.5000
0.0000 0.0000 0.5000

=====

| no. | offset from the most stable computed form (meV/atom) | total magnetic moment (μB per atom) | density (g/cm3) |
| --- | --- | --- | --- |
| 1 | 1082 | 1.203 | 2.46 |
| 2 | 1319 | 0.802 | 1.87 |